Entry A
The following is a DFT calculation (GGA-PBE) of a relaxed structure of Al4Cu2Si.

abc: 4.137 4.137 18.904
angles: 90.00 90.00 120.00
Fractional coordinates of all 14 atoms:
Al 0.000 0.000 0.000
Al 0.000 0.000 0.232
Al 0.000 0.000 0.500
Al 0.000 0.000 0.732
Al 0.333 0.667 0.162
Al 0.333 0.667 0.902
Al 0.667 0.333 0.402
Al 0.667 0.333 0.662
Cu 0.333 0.667 0.034
Cu 0.333 0.667 0.692
Cu 0.667 0.333 0.192
Cu 0.667 0.333 0.534
Si 0.000 0.000 0.364
Si 0.000 0.000 0.864

Output
- Space group: No. 186
- Density of states at the Fermi level: 0.36 states/eV per atom
- V: 20.0 Å³/atom

---

Entry B
The following is a DFT calculation (GGA-PBE) of a relaxed structure of Al4Cu2Si.

abc: 3.883 3.883 10.760
angles: 90.00 90.00 120.00
Fractional coordinates of all 7 atoms:
Al 0.333 0.667 0.389
Al 0.333 0.667 0.923
Al 0.667 0.333 0.077
Al 0.667 0.333 0.611
Cu 0.333 0.667 0.164
Cu 0.667 0.333 0.836
Si 0.000 0.000 0.500

Output
- Space group: No. 164
- Density of states at the Fermi level: 0.53 states/eV per atom
- V: 20.1 Å³/atom

---

Which of them is least stable? Easy: entry B.

---

Entry A
The following is a DFT calculation (GGA-PBE) of a relaxed structure of Al4Cu2Si.

abc: 4.092 4.092 9.679
angles: 90.00 90.00 120.00
Fractional coordinates of all 7 atoms:
Al 0.000 0.000 0.000
Al 0.000 0.000 0.481
Al 0.667 0.333 0.333
Al 0.667 0.333 0.824
Cu 0.333 0.667 0.394
Cu 0.667 0.333 0.083
Si 0.000 0.000 0.737

Output
- Space group: No. 156
- Density of states at the Fermi level: 0.44 states/eV per atom
- V: 20.1 Å³/atom

---

Entry B
The following is a DFT calculation (GGA-PBE) of a relaxed structure of Al4Cu2Si.

abc: 7.270 3.675 8.406
angles: 90.00 106.81 90.00
Fractional coordinates of all 14 atoms:
Al 0.015 0.250 0.381
Al 0.086 0.750 0.151
Al 0.405 0.250 0.069
Al 0.406 0.250 0.375
Al 0.594 0.750 0.625
Al 0.595 0.750 0.931
Al 0.914 0.250 0.849
Al 0.985 0.750 0.619
Cu 0.206 0.750 0.896
Cu 0.246 0.750 0.486
Cu 0.754 0.250 0.514
Cu 0.794 0.250 0.104
Si 0.324 0.250 0.714
Si 0.676 0.750 0.286

Output
- Space group: No. 11
- Density of states at the Fermi level: 0.29 states/eV per atom
- V: 15.4 Å³/atom

---

Which of them is least stable? Easy: entry A.

---

Entry A
The following is a DFT calculation (GGA-PBE) of a relaxed structure of AlCu2Si3.

abc: 5.039 5.039 4.120
angles: 90.00 90.00 120.00
Fractional coordinates of all 6 atoms:
Al 0.000 0.000 0.000
Cu 0.333 0.667 0.000
Cu 0.667 0.333 0.000
Si 0.000 0.500 0.500
Si 0.500 0.000 0.500
Si 0.500 0.500 0.500

Output
- Space group: No. 191
- Density of states at the Fermi level: 0.30 states/eV per atom
- V: 15.1 Å³/atom

---

Entry B
The following is a DFT calculation (GGA-PBE) of a relaxed structure of AlCu2Si3.

abc: 5.669 5.669 5.954
angles: 90.00 90.00 120.00
Fractional coordinates of all 12 atoms:
Al 0.333 0.667 0.330
Al 0.667 0.333 0.670
Cu 0.000 0.000 0.000
Cu 0.000 0.500 0.000
Cu 0.500 0.000 0.000
Cu 0.500 0.500 0.000
Si 0.164 0.328 0.674
Si 0.164 0.836 0.674
Si 0.328 0.164 0.326
Si 0.672 0.836 0.674
Si 0.836 0.164 0.326
Si 0.836 0.672 0.326

Output
- Space group: No. 164
- Density of states at the Fermi level: 0.12 states/eV per atom
- V: 13.8 Å³/atom

---

Entry C
The following is a DFT calculation (GGA-PBE) of a relaxed structure of AlCu2Si3.

abc: 6.083 6.083 3.864
angles: 90.00 90.00 144.67
Fractional coordinates of all 6 atoms:
Al 0.000 0.000 0.000
Cu 0.171 0.829 0.500
Cu 0.829 0.171 0.500
Si 0.332 0.668 0.000
Si 0.500 0.500 0.500
Si 0.668 0.332 0.000

Output
- Space group: No. 65
- Density of states at the Fermi level: 0.14 states/eV per atom
- V: 13.8 Å³/atom

---

Entry D
The following is a DFT calculation (GGA-PBE) of a relaxed structure of AlCu2Si3.

abc: 5.826 5.826 7.377
angles: 90.00 90.00 126.30
Fractional coordinates of all 12 atoms:
Al 0.000 0.000 0.000
Al 0.000 0.000 0.500
Cu 0.237 0.763 0.570
Cu 0.237 0.763 0.930
Cu 0.763 0.237 0.070
Cu 0.763 0.237 0.430
Si 0.187 0.372 0.250
Si 0.193 0.807 0.250
Si 0.372 0.187 0.750
Si 0.628 0.813 0.250
Si 0.807 0.193 0.750
Si 0.813 0.628 0.750

Output
- Space group: No. 63
- Density of states at the Fermi level: 0.31 states/eV per atom
- V: 16.8 Å³/atom

---

Which of them is least stable? Easy: entry D.

---

Entry A
The following is a DFT calculation (GGA-PBE) of a relaxed structure of AlCu6Si.

abc: 3.654 3.654 7.342
angles: 90.00 90.00 90.00
Fractional coordinates of all 8 atoms:
Al 0.000 0.000 0.000
Cu 0.000 0.500 0.255
Cu 0.000 0.500 0.745
Cu 0.500 0.000 0.255
Cu 0.500 0.000 0.745
Cu 0.500 0.500 0.000
Cu 0.500 0.500 0.500
Si 0.000 0.000 0.500

Output
- Space group: No. 123
- Density of states at the Fermi level: 0.30 states/eV per atom
- V: 12.3 Å³/atom

---

Entry B
The following is a DFT calculation (GGA-PBE) of a relaxed structure of AlCu6Si.

abc: 3.458 3.458 9.344
angles: 90.00 90.00 90.00
Fractional coordinates of all 8 atoms:
Al 0.000 0.000 0.000
Cu 0.000 0.500 0.319
Cu 0.000 0.500 0.681
Cu 0.500 0.000 0.319
Cu 0.500 0.000 0.681
Cu 0.500 0.500 0.125
Cu 0.500 0.500 0.875
Si 0.000 0.000 0.500

Output
- Space group: No. 123
- Density of states at the Fermi level: 0.43 states/eV per atom
- V: 14.0 Å³/atom

---

Which of them is least stable? Easy: entry B.

---

Entry A
The following is a DFT calculation (GGA-PBE) of a relaxed structure of AlCu6Si.

abc: 3.348 3.348 10.117
angles: 90.00 90.00 90.00
Fractional coordinates of all 8 atoms:
Al 0.000 0.000 0.000
Cu 0.000 0.500 0.191
Cu 0.000 0.500 0.809
Cu 0.500 0.000 0.191
Cu 0.500 0.000 0.809
Cu 0.500 0.500 0.381
Cu 0.500 0.500 0.619
Si 0.000 0.000 0.500

Output
- Space group: No. 123
- Density of states at the Fermi level: 0.39 states/eV per atom
- V: 14.2 Å³/atom

---

Entry B
The following is a DFT calculation (GGA-PBE) of a relaxed structure of AlCu6Si.

abc: 4.302 4.302 6.730
angles: 105.39 105.39 68.86
Fractional coordinates of all 8 atoms:
Al 0.000 0.000 0.000
Cu 0.063 0.567 0.199
Cu 0.143 0.143 0.430
Cu 0.433 0.937 0.801
Cu 0.567 0.063 0.199
Cu 0.857 0.857 0.570
Cu 0.937 0.433 0.801
Si 0.500 0.500 0.500

Output
- Space group: No. 12
- Density of states at the Fermi level: 0.21 states/eV per atom
- V: 13.7 Å³/atom

---

Which of them is least stable? Easy: entry A.

---

Entry A
The following is a DFT calculation (GGA-PBE) of a relaxed structure of Al2CuSi3.

abc: 8.026 8.026 3.940
angles: 99.64 99.64 50.50
Fractional coordinates of all 12 atoms:
Al 0.000 0.000 0.000
Al 0.000 0.500 0.000
Al 0.500 0.000 0.000
Al 0.500 0.500 0.000
Cu 0.171 0.171 0.333
Cu 0.829 0.829 0.667
Si 0.141 0.692 0.369
Si 0.308 0.859 0.631
Si 0.335 0.335 0.577
Si 0.665 0.665 0.423
Si 0.692 0.141 0.369
Si 0.859 0.308 0.631

Output
- Space group: No. 12
- Density of states at the Fermi level: 0.38 states/eV per atom
- V: 16.0 Å³/atom

---

Entry B
The following is a DFT calculation (GGA-PBE) of a relaxed structure of Al2CuSi3.

abc: 5.187 5.187 7.743
angles: 90.00 90.00 120.00
Fractional coordinates of all 12 atoms:
Al 0.333 0.667 0.072
Al 0.333 0.667 0.428
Al 0.667 0.333 0.572
Al 0.667 0.333 0.928
Cu 0.000 0.000 0.000
Cu 0.000 0.000 0.500
Si 0.173 0.346 0.750
Si 0.173 0.827 0.750
Si 0.346 0.173 0.250
Si 0.654 0.827 0.750
Si 0.827 0.173 0.250
Si 0.827 0.654 0.250

Output
- Space group: No. 194
- Density of states at the Fermi level: 0.30 states/eV per atom
- V: 15.0 Å³/atom

---

Entry C
The following is a DFT calculation (GGA-PBE) of a relaxed structure of Al2CuSi3.

abc: 4.950 4.950 4.644
angles: 90.00 90.00 120.00
Fractional coordinates of all 6 atoms:
Al 0.333 0.667 0.000
Al 0.667 0.333 0.000
Cu 0.000 0.000 0.000
Si 0.000 0.500 0.500
Si 0.500 0.000 0.500
Si 0.500 0.500 0.500

Output
- Space group: No. 191
- Density of states at the Fermi level: 0.66 states/eV per atom
- V: 16.4 Å³/atom

---

Which of them is least stable? Easy: entry C.

---

Entry A
The following is a DFT calculation (GGA-PBE) of a relaxed structure of Al5Cu2Si.

abc: 8.069 8.069 8.069
angles: 151.68 151.68 40.47
Fractional coordinates of all 8 atoms:
Al 0.000 0.000 0.000
Al 0.137 0.637 0.500
Al 0.363 0.863 0.500
Al 0.637 0.137 0.500
Al 0.863 0.363 0.500
Cu 0.250 0.250 0.000
Cu 0.750 0.750 0.000
Si 0.500 0.500 0.000

Output
- Space group: No. 139
- Density of states at the Fermi level: 0.28 states/eV per atom
- V: 14.7 Å³/atom

---

Entry B
The following is a DFT calculation (GGA-PBE) of a relaxed structure of Al5Cu2Si.

abc: 5.476 10.744 4.056
angles: 90.00 90.00 90.00
Fractional coordinates of all 16 atoms:
Al 0.000 0.000 0.000
Al 0.026 0.253 0.000
Al 0.227 0.618 0.500
Al 0.273 0.118 0.500
Al 0.474 0.753 0.000
Al 0.500 0.500 0.000
Al 0.526 0.247 0.000
Al 0.727 0.882 0.500
Al 0.773 0.382 0.500
Al 0.974 0.747 0.000
Cu 0.212 0.865 0.500
Cu 0.288 0.365 0.500
Cu 0.712 0.635 0.500
Cu 0.788 0.135 0.500
Si 0.000 0.500 0.000
Si 0.500 0.000 0.000

Output
- Space group: No. 55
- Density of states at the Fermi level: 0.26 states/eV per atom
- V: 14.9 Å³/atom

---

Entry C
The following is a DFT calculation (GGA-PBE) of a relaxed structure of Al5Cu2Si.

abc: 6.763 6.763 6.763
angles: 155.58 106.40 78.88
Fractional coordinates of all 8 atoms:
Al 0.000 0.000 0.000
Al 0.106 0.368 0.738
Al 0.371 0.632 0.738
Al 0.629 0.368 0.262
Al 0.894 0.632 0.262
Cu 0.242 0.242 0.000
Cu 0.758 0.758 0.000
Si 0.500 0.000 0.500

Output
- Space group: No. 71
- Density of states at the Fermi level: 0.33 states/eV per atom
- V: 15.1 Å³/atom

---

Which of them is least stable? Easy: entry C.

---

Entry A
The following is a DFT calculation (GGA-PBE) of a relaxed structure of Al3Cu3Si2.

abc: 7.863 7.863 4.498
angles: 90.00 90.00 120.00
Fractional coordinates of all 16 atoms:
Al 0.000 0.379 0.250
Al 0.000 0.621 0.750
Al 0.379 0.000 0.250
Al 0.379 0.379 0.750
Al 0.621 0.000 0.750
Al 0.621 0.621 0.250
Cu 0.000 0.188 0.750
Cu 0.000 0.812 0.250
Cu 0.188 0.000 0.750
Cu 0.188 0.188 0.250
Cu 0.812 0.000 0.250
Cu 0.812 0.812 0.750
Si 0.333 0.667 0.000
Si 0.333 0.667 0.500
Si 0.667 0.333 0.000
Si 0.667 0.333 0.500

Output
- Space group: No. 193
- Density of states at the Fermi level: 0.41 states/eV per atom
- V: 15.1 Å³/atom

---

Entry B
The following is a DFT calculation (GGA-PBE) of a relaxed structure of Al3Cu3Si2.

abc: 7.087 7.087 2.673
angles: 90.00 90.00 120.00
Fractional coordinates of all 8 atoms:
Al 0.000 0.759 0.000
Al 0.241 0.241 0.000
Al 0.759 0.000 0.000
Cu 0.000 0.369 0.500
Cu 0.369 0.000 0.500
Cu 0.631 0.631 0.500
Si 0.333 0.667 0.000
Si 0.667 0.333 0.000

Output
- Space group: No. 189
- Density of states at the Fermi level: 0.25 states/eV per atom
- V: 14.5 Å³/atom

---

Which of them is least stable? Easy: entry A.